A relaxed structure of MnTlMo. Source: Alexandria via LeMat-Bulk, functional PBE.

Values from the calculation:
The density of states at the Fermi level comes out at 2.84 states/eV per cell. The density comes out at 10.4 g/cm3. As for the total DFT energy (no corrections): -6.726 eV per atom. The magnetization is 1.98 μB per formula unit.

Cell lengths 6.1008, 6.1008, 6.1008 Å; angles 90.00, 90.00, 90.00 degrees
Space group F-43m (No. 216)
Symmetry-distinct sites (fractional):
Mn (0.0000, 0.0000, 0.0000) x4
Tl (0.2500, 0.2500, 0.7500) x4
Mo (0.2500, 0.2500, 0.2500) x4